This record from Alexandria describes TaCo2I after structural relaxation. The functional is PBE.

Calculated values
- polymorph energy (0 for the lowest one) (meV per atom) = 0
- DFT total energy (Ry/atom) = -0.4454
- ΔE_f (raw) (eV per atom) = 0.843
- symmetry = No. 225

Lattice parameters (Å, degrees): 4.4552 4.4552 4.4552 60.00 60.00 60.00
With the nearest neighbours (Å) after each atom.
Fractional coordinates of all 4 atoms:
I 0.0000 0.0000 0.0000  8 Co 2.73
Co 0.2500 0.2500 0.2500  4 Ta 2.73, 4 I 2.73
Co 0.7500 0.7500 0.7500  4 I 2.73, 4 Ta 2.73
Ta 0.5000 0.5000 0.5000  8 Co 2.73